1.
DFT (PBE) results for crystalline InGeCl3 at its relaxed geometry.

Calculated total energy ... -33.11 eV per cell
SG ... No. 63
Formation energy (no corrections) ... -3.66 eV per formula unit
DOS at the Fermi energy ... 0.00 states/eV/f.u.
Size of the total moment ... 0.00 μB per cell

Cell and atoms, written as CIF:
```
data_InGeCl3
_symmetry_space_group_name_H-M 'P 1'
_symmetry_Int_Tables_number 1
_symmetry_space_group_name_Hall 'P 1'
_cell_length_a 6.034
_cell_length_b 6.034
_cell_length_c 10.327
_cell_angle_alpha 90.00
_cell_angle_beta 90.00
_cell_angle_gamma 77.30
loop_
_atom_site_label
_atom_site_fract_x
_atom_site_fract_y
_atom_site_fract_z
_atom_site_occupancy
Cl1 0.000 0.000 0.000 1
Cl2 0.114 0.519 0.250 1
In1 0.355 0.645 0.750 1
In2 0.645 0.355 0.250 1
Cl3 0.481 0.886 0.250 1
Cl4 0.000 0.000 0.500 1
Cl5 0.886 0.481 0.750 1
Ge1 0.080 0.920 0.250 1
Ge2 0.920 0.080 0.750 1
Cl6 0.519 0.114 0.750 1
```

---

2.
DFT (PBE) results for crystalline ZnCdAu6 at its relaxed geometry.

Calculated total energy ... -22.76 eV per cell
SG ... No. 123
DOS at the Fermi energy ... 2.05 states/eV/f.u.
Size of the total moment ... 0.00 μB per cell
Energy of formation from the pure elements ... -11.0 kJ per mole of atoms

Cell and atoms, written as CIF:
```
data_ZnCdAu6
_symmetry_space_group_name_H-M 'P 1'
_symmetry_Int_Tables_number 1
_symmetry_space_group_name_Hall 'P 1'
_cell_length_a 4.161
_cell_length_b 4.161
_cell_length_c 8.282
_cell_angle_alpha 90.00
_cell_angle_beta 90.00
_cell_angle_gamma 90.00
loop_
_atom_site_label
_atom_site_fract_x
_atom_site_fract_y
_atom_site_fract_z
_atom_site_occupancy
Au1 0.500 0.500 0.500 1
Au2 0.000 0.500 0.259 1
Zn1 0.000 0.000 0.500 1
Au3 0.000 0.500 0.741 1
Cd1 0.000 0.000 0.000 1
Au4 0.500 0.000 0.741 1
Au5 0.500 0.500 0.000 1
Au6 0.500 0.000 0.259 1
```